The following is a PBE calculation of a relaxed structure of DyYSiGe, from the Alexandria database.

Computed properties:
Crystal system: orthorhombic
ΔE_f (raw) (eV/atom): -0.852
Space group: Amm2
N(E_F) (states/eV/f.u.): 2.620

The structure in extended XYZ format:
```
4
Lattice="-3.185 2.804 0.618 0.385 -0.415 3.865 5.116 2.583 -0.232" Properties=species:S:1:pos:R:3 pbc="T T T"
Dy 0.977 1.105 0.021
Y 1.136 4.063 2.297
Si -0.825 1.845 2.254
Ge 2.959 3.347 0.065
```